(1)
# Pm3Nd2ErAs6 | the Alexandria database | PBE-GGA | optimized geometry
data_Pm3Nd2ErAs6
_symmetry_space_group_name_H-M 'C 1 2/m 1'
_symmetry_Int_Tables_number 12
_symmetry_space_group_name_Hall '-C 2y'
_cell_length_a 18.413
_cell_length_b 4.228
_cell_length_c 8.449
_cell_angle_alpha 90.00
_cell_angle_beta 103.28
_cell_angle_gamma 90.00
loop_
_atom_site_label
_atom_site_fract_x
_atom_site_fract_y
_atom_site_fract_z
Pm1 0.000 0.000 0.000
Pm2 0.167 0.500 0.334
Nd1 0.166 0.500 0.832
Er1 0.000 0.000 0.500
As1 0.001 0.500 0.257
As2 0.164 0.000 0.580
As3 0.166 0.000 0.084
# Density of states at the Fermi level, states/eV per cell: 3.50
# Total DFT energy (no corrections), Ry per atom: -0.45573
# Crystal system: monoclinic

---

(2)
# CsAs2Se2 | the Alexandria database | PBE-GGA | optimized geometry
data_CsAs2Se2
_symmetry_space_group_name_H-M 'P -1'
_symmetry_Int_Tables_number 2
_symmetry_space_group_name_Hall '-P 1'
_cell_length_a 6.548
_cell_length_b 6.758
_cell_length_c 9.333
_cell_angle_alpha 101.59
_cell_angle_beta 104.12
_cell_angle_gamma 110.41
loop_
_atom_site_label
_atom_site_fract_x
_atom_site_fract_y
_atom_site_fract_z
Cs1 0.201 0.341 0.208
As1 0.205 0.140 0.573
As2 0.482 0.868 0.067
Se1 0.167 0.330 0.801
Se2 0.316 0.861 0.673
# Crystal system: triclinic
# Relative energy among the computed polymorphs, meV/atom: 0.0

---

(3)
# PdPbCl2 | the Alexandria database | PBE-GGA | optimized geometry
data_PdPbCl2
_symmetry_space_group_name_H-M 'F m -3 m'
_symmetry_Int_Tables_number 225
_symmetry_space_group_name_Hall '-F 4 2 3'
_cell_length_a 7.047
_cell_length_b 7.047
_cell_length_c 7.047
_cell_angle_alpha 90.00
_cell_angle_beta 90.00
_cell_angle_gamma 90.00
loop_
_atom_site_label
_atom_site_fract_x
_atom_site_fract_y
_atom_site_fract_z
Pd1 0.000 0.000 0.000
Pb1 0.000 0.000 0.500
Cl1 0.250 0.250 0.250
# Density of states at the Fermi level, states/eV per cell: 0.00
# Crystal system: cubic
# Relative energy among the computed polymorphs, meV/atom: 26.9

---

(4)
# NaTlRu2 | the Alexandria database | PBE-GGA | optimized geometry
data_NaTlRu2
_symmetry_space_group_name_H-M 'I -4 2 d'
_symmetry_Int_Tables_number 122
_symmetry_space_group_name_Hall 'I -4 2bw'
_cell_length_a 7.776
_cell_length_b 7.776
_cell_length_c 5.165
_cell_angle_alpha 90.00
_cell_angle_beta 90.00
_cell_angle_gamma 90.00
loop_
_atom_site_label
_atom_site_fract_x
_atom_site_fract_y
_atom_site_fract_z
Na1 0.000 0.000 0.000
Tl1 0.000 0.000 0.500
Ru1 0.228 0.250 0.625
# Density of states at the Fermi level, states/eV per cell: 20.35
# Total DFT energy (no corrections), Ry per atom: -0.32856
# Crystal system: tetragonal

---

(5)
# YCrGe2 | the Alexandria database | PBE-GGA | optimized geometry
data_YCrGe2
_symmetry_space_group_name_H-M 'I -4 2 d'
_symmetry_Int_Tables_number 122
_symmetry_space_group_name_Hall 'I -4 2bw'
_cell_length_a 4.664
_cell_length_b 4.664
_cell_length_c 16.910
_cell_angle_alpha 90.00
_cell_angle_beta 90.00
_cell_angle_gamma 90.00
loop_
_atom_site_label
_atom_site_fract_x
_atom_site_fract_y
_atom_site_fract_z
Y1 0.000 0.000 0.000
Cr1 0.000 0.000 0.500
Ge1 0.127 0.250 0.625
# Density of states at the Fermi level, states/eV per cell: 12.12
# Crystal system: tetragonal
# Relative energy among the computed polymorphs, meV/atom: 415.7

---

(6)
# Th4Bi3P | the Alexandria database | PBE-GGA | optimized geometry
data_Th4Bi3P
_symmetry_space_group_name_H-M 'P 1 2/c 1'
_symmetry_Int_Tables_number 13
_symmetry_space_group_name_Hall '-P 2yc'
_cell_length_a 7.863
_cell_length_b 8.992
_cell_length_c 7.682
_cell_angle_alpha 90.00
_cell_angle_beta 109.22
_cell_angle_gamma 90.00
loop_
_atom_site_label
_atom_site_fract_x
_atom_site_fract_y
_atom_site_fract_z
Th1 0.212 0.108 0.000
Th2 0.229 0.347 0.475
Bi1 0.000 0.380 0.750
Bi2 0.500 0.121 0.750
Bi3 0.500 0.380 0.250
P1 0.000 0.119 0.250
# Density of states at the Fermi level, states/eV per cell: 8.81
# Total DFT energy (no corrections), Ry per atom: -0.48837
# Crystal system: monoclinic

---

(7)
# Sm2Ag2GeO6 | the Alexandria database | PBE-GGA | optimized geometry
data_Sm2Ag2GeO6
_symmetry_space_group_name_H-M 'C 1 2/m 1'
_symmetry_Int_Tables_number 12
_symmetry_space_group_name_Hall '-C 2y'
_cell_length_a 5.849
_cell_length_b 10.369
_cell_length_c 6.334
_cell_angle_alpha 90.00
_cell_angle_beta 98.11
_cell_angle_gamma 90.00
loop_
_atom_site_label
_atom_site_fract_x
_atom_site_fract_y
_atom_site_fract_z
Sm1 0.000 0.163 0.000
Ag1 0.000 0.354 0.500
Ge1 0.000 0.500 0.000
O1 0.110 0.354 0.830
O2 0.197 0.000 0.853
# Density of states at the Fermi level, states/eV per cell: 0.00
# Total DFT energy (no corrections), Ry per atom: -0.47233
# Crystal system: monoclinic

---

(8)
# Mg2Zr2Au3 | the Alexandria database | PBE-GGA | optimized geometry
data_Mg2Zr2Au3
_symmetry_space_group_name_H-M 'R -3 m'
_symmetry_Int_Tables_number 166
_symmetry_space_group_name_Hall '-R 3 2"'
_cell_length_a 4.6235
_cell_length_b 4.6235
_cell_length_c 23.7896
_cell_angle_alpha 90.00
_cell_angle_beta 90.00
_cell_angle_gamma 120.00
loop_
_atom_site_label
_atom_site_fract_x
_atom_site_fract_y
_atom_site_fract_z
Mg1 0.0000 0.0000 0.1260
Zr1 0.0000 0.0000 0.3739
Au1 0.0000 0.0000 0.2534
Au2 0.0000 0.0000 0.5000
# Density of states at the Fermi level, states/eV per cell: 12.50
# Total DFT energy (no corrections), Ry per atom: -0.34473
# Crystal system: trigonal

---

Number 1: magnetization 0.00 μB per formula unit. Number 2: magnetization 0.00 μB per formula unit. Number 3: magnetization 0.00 μB per formula unit. Number 4: magnetization 0.00 μB per formula unit. Number 5: magnetization 3.40 μB per formula unit. Number 6: magnetization 0.00 μB per formula unit. Number 7: magnetization 0.00 μB per formula unit. Number 8: magnetization 1.11 μB per formula unit.